# 1
Mg2Ti2Pd7 | PBE | optimized geometry

a b c (Å): 9.255 5.582 7.270
angles (deg): 90.00 90.10 90.00
Space group C2/m (No. 12)
Inequivalent atoms, fractional coordinates:
Mg (0.227, 0.000, 0.000) (multiplicity 4)
Ti (0.000, 0.254, 0.500) (multiplicity 4)
Pd (0.000, 0.000, 0.207) (multiplicity 4)
Pd (0.000, 0.500, 0.000) (multiplicity 2)
Pd (0.250, 0.250, 0.313) (multiplicity 8)

=====

# 2
MgTi2Pd | PBE | optimized geometry

a b c (Å): 7.493 7.493 5.306
angles (deg): 90.00 90.00 90.00
Space group I-42d (No. 122)
Inequivalent atoms, fractional coordinates:
Mg (0.000, 0.000, 0.000) (multiplicity 4)
Ti (0.207, 0.750, 0.625) (multiplicity 8)
Pd (0.000, 0.000, 0.500) (multiplicity 4)

=====

# 3
Mg5TiPd6 | PBE | optimized geometry

a b c (Å): 4.498 13.522 6.359
angles (deg): 90.00 90.00 90.00
Space group Cmmm (No. 65)
Inequivalent atoms, fractional coordinates:
Mg (0.000, 0.000, 0.000) (multiplicity 2)
Mg (0.000, 0.331, 0.500) (multiplicity 4)
Mg (0.000, 0.334, 0.000) (multiplicity 4)
Ti (0.000, 0.000, 0.500) (multiplicity 2)
Pd (0.000, 0.162, 0.251) (multiplicity 8)
Pd (0.000, 0.500, 0.261) (multiplicity 4)

=====

# 4
MgTi2Pd6 | PBE | optimized geometry

a b c (Å): 14.053 7.430 2.841
angles (deg): 90.00 101.50 90.00
Space group C2/m (No. 12)
Inequivalent atoms, fractional coordinates:
Mg (0.000, 0.000, 0.000) (multiplicity 2)
Ti (0.163, 0.500, 0.669) (multiplicity 4)
Pd (0.000, 0.313, 0.500) (multiplicity 4)
Pd (0.169, 0.191, 0.170) (multiplicity 8)

=====

# 5
MgTiPd3 | PBE | optimized geometry

For the energy above the most stable polymorph in this dataset, the calculation gives 1001.7 meV/atom.

a b c (Å): 4.553 4.553 4.553
angles (deg): 90.00 90.00 90.00
Space group Pm-3m (No. 221)
Inequivalent atoms, fractional coordinates:
Mg (0.000, 0.000, 0.000) (multiplicity 1)
Ti (0.500, 0.500, 0.500) (multiplicity 1)
Pd (0.000, 0.000, 0.500) (multiplicity 3)

=====

# 6
Mg2TiPd6 | PBE | optimized geometry

a b c (Å): 13.196 6.039 4.242
angles (deg): 90.00 108.68 90.00
Space group C2/m (No. 12)
Inequivalent atoms, fractional coordinates:
Mg (0.169, 0.000, 0.167) (multiplicity 4)
Ti (0.000, 0.500, 0.500) (multiplicity 2)
Pd (0.000, 0.257, 0.000) (multiplicity 4)
Pd (0.162, 0.251, 0.661) (multiplicity 8)

=====

# 7
MgTiPd4 | PBE | optimized geometry

a b c (Å): 8.478 11.802 5.997
angles (deg): 90.00 134.94 90.00
Space group C2/c (No. 15)
Inequivalent atoms, fractional coordinates:
Mg (0.000, 0.125, 0.250) (multiplicity 4)
Ti (0.000, 0.375, 0.750) (multiplicity 4)
Pd (0.244, 0.500, 0.244) (multiplicity 8)
Pd (0.249, 0.250, 0.755) (multiplicity 8)

=====

# 8
MgTiPd | PBE | optimized geometry

a b c (Å): 5.233 7.305 11.402
angles (deg): 90.00 90.00 90.00
Space group Fmmm (No. 69)
Inequivalent atoms, fractional coordinates:
Mg (0.000, 0.180, 0.000) (multiplicity 8)
Ti (0.250, 0.250, 0.250) (multiplicity 8)
Pd (0.000, 0.000, 0.380) (multiplicity 8)

=====

# 9
Mg2TiPd | PBE | optimized geometry

a b c (Å): 7.584 7.584 5.495
angles (deg): 90.00 90.00 90.00
Space group I-42d (No. 122)
Inequivalent atoms, fractional coordinates:
Mg (0.211, 0.750, 0.125) (multiplicity 8)
Ti (0.000, 0.000, 0.500) (multiplicity 4)
Pd (0.000, 0.000, 0.000) (multiplicity 4)

=====

# 10
MgTi4Pd5 | PBE | optimized geometry

a b c (Å): 8.002 8.002 5.329
angles (deg): 90.00 90.00 90.00
Space group I4 (No. 79)
Inequivalent atoms, fractional coordinates:
Mg (0.000, 0.000, 0.000) (multiplicity 2)
Ti (0.075, 0.310, 0.705) (multiplicity 8)
Pd (0.000, 0.000, 0.525) (multiplicity 2)
Pd (0.105, 0.270, 0.215) (multiplicity 8)

=====

# 11
Mg4TiPd5 | PBE | optimized geometry

a b c (Å): 3.026 3.026 17.571
angles (deg): 90.00 90.00 90.00
Space group P4/mmm (No. 123)
Inequivalent atoms, fractional coordinates:
Mg (0.000, 0.000, 0.100) (multiplicity 2)
Mg (0.000, 0.000, 0.300) (multiplicity 2)
Ti (0.000, 0.000, 0.500) (multiplicity 1)
Pd (0.500, 0.500, 0.000) (multiplicity 1)
Pd (0.500, 0.500, 0.199) (multiplicity 2)
Pd (0.500, 0.500, 0.403) (multiplicity 2)

=====

# 12
Mg2TiPd8 | PBE | optimized geometry

a b c (Å): 14.143 4.043 6.255
angles (deg): 90.00 106.54 90.00
Space group C2/m (No. 12)
Inequivalent atoms, fractional coordinates:
Mg (0.222, 0.000, 0.152) (multiplicity 4)
Ti (0.000, 0.500, 0.500) (multiplicity 2)
Pd (0.041, 0.000, 0.229) (multiplicity 4)
Pd (0.093, 0.500, 0.950) (multiplicity 4)
Pd (0.137, 0.000, 0.681) (multiplicity 4)
Pd (0.178, 0.500, 0.415) (multiplicity 4)

=====

# 13
MgTiPd | PBE | optimized geometry

a b c (Å): 3.038 3.085 11.502
angles (deg): 97.36 90.02 90.00
Space group P-1 (No. 2)
Inequivalent atoms, fractional coordinates:
Mg (0.249, 0.071, 0.123) (multiplicity 2)
Ti (0.249, 0.210, 0.422) (multiplicity 2)
Pd (0.250, 0.357, 0.722) (multiplicity 2)

=====

# 14
Mg5Ti2Pd12 | PBE | optimized geometry

a b c (Å): 12.904 7.607 6.381
angles (deg): 90.00 90.32 90.00
Space group C2/m (No. 12)
Inequivalent atoms, fractional coordinates:
Mg (0.000, 0.000, 0.000) (multiplicity 2)
Mg (0.206, 0.500, 0.518) (multiplicity 4)
Mg (0.240, 0.000, 0.928) (multiplicity 4)
Ti (0.000, 0.288, 0.500) (multiplicity 4)
Pd (0.053, 0.500, 0.197) (multiplicity 4)
Pd (0.095, 0.000, 0.609) (multiplicity 4)
Pd (0.124, 0.306, 0.835) (multiplicity 8)
Pd (0.152, 0.187, 0.254) (multiplicity 8)

=====

# 15
Mg2TiPd3 | PBE | optimized geometry

For the energy above the most stable polymorph in this dataset, the calculation gives 2.5 meV/atom.

a b c (Å): 4.520 6.309 7.154
angles (deg): 90.00 108.00 90.00
Space group P2/m (No. 10)
Inequivalent atoms, fractional coordinates:
Mg (0.000, 0.000, 0.000) (multiplicity 1)
Mg (0.000, 0.500, 0.000) (multiplicity 1)
Mg (0.332, 0.000, 0.666) (multiplicity 2)
Ti (0.337, 0.500, 0.674) (multiplicity 2)
Pd (0.173, 0.263, 0.345) (multiplicity 4)
Pd (0.500, 0.253, 0.000) (multiplicity 2)

=====

# 16
MgTiPd3 | PBE | optimized geometry

For the energy above the most stable polymorph in this dataset, the calculation gives 0.0 meV/atom.

a b c (Å): 4.059 5.521 7.400
angles (deg): 90.00 105.83 90.00
Space group P2_1/m (No. 11)
Inequivalent atoms, fractional coordinates:
Mg (0.195, 0.250, 0.389) (multiplicity 2)
Ti (0.016, 0.750, 0.031) (multiplicity 2)
Pd (0.196, 0.750, 0.393) (multiplicity 2)
Pd (0.402, 0.502, 0.804) (multiplicity 4)

=====

# 17
Mg2TiPd9 | PBE | optimized geometry

a b c (Å): 3.949 3.949 11.908
angles (deg): 90.00 90.00 90.00
Space group P4/mmm (No. 123)
Inequivalent atoms, fractional coordinates:
Mg (0.000, 0.000, 0.166) (multiplicity 2)
Ti (0.000, 0.000, 0.500) (multiplicity 1)
Pd (0.000, 0.500, 0.000) (multiplicity 2)
Pd (0.000, 0.500, 0.339) (multiplicity 4)
Pd (0.500, 0.500, 0.170) (multiplicity 2)
Pd (0.500, 0.500, 0.500) (multiplicity 1)

=====

# 18
MgTi5Pd8 | PBE | optimized geometry

a b c (Å): 7.776 7.776 7.705
angles (deg): 90.00 90.00 90.00
Space group I-4 (No. 82)
Inequivalent atoms, fractional coordinates:
Mg (0.000, 0.000, 0.000) (multiplicity 2)
Ti (0.000, 0.500, 0.750) (multiplicity 2)
Ti (0.133, 0.714, 0.345) (multiplicity 8)
Pd (0.068, 0.835, 0.664) (multiplicity 8)
Pd (0.102, 0.661, 0.016) (multiplicity 8)

=====

# 19
MgTi2ZnPd4 | PBE | optimized geometry

a b c (Å): 4.4404 4.4404 21.8080
angles (deg): 90.00 90.00 120.00
Space group R-3m (No. 166, hexagonal axes)
Inequivalent atoms, fractional coordinates:
Mg (0.0000, 0.0000, 0.0000) (multiplicity 3)
Ti (0.0000, 0.0000, 0.2482) (multiplicity 6)
Zn (0.0000, 0.0000, 0.5000) (multiplicity 3)
Pd (0.0000, 0.0000, 0.1254) (multiplicity 6)
Pd (0.0000, 0.0000, 0.3756) (multiplicity 6)

=====

# 20
Mg2TiZn2Pd5 | PBE | optimized geometry

a b c (Å): 9.468 9.468 3.666
angles (deg): 90.00 90.00 90.00
Space group P4/mbm (No. 127)
Inequivalent atoms, fractional coordinates:
Mg (0.170, 0.330, 0.000) (multiplicity 4)
Ti (0.000, 0.000, 0.000) (multiplicity 2)
Zn (0.127, 0.627, 0.000) (multiplicity 4)
Pd (0.000, 0.500, 0.500) (multiplicity 2)
Pd (0.081, 0.808, 0.500) (multiplicity 8)

=====

no.,DFT formation energy (eV per atom)
1,-0.261
2,0.089
3,-0.696
4,-0.444
5,0.459
6,-0.314
7,-0.320
8,-0.184
9,0.117
10,-0.292
11,-0.685
12,-0.531
13,-0.467
14,-0.527
15,-0.664
16,-0.543
17,-0.537
18,-0.424
19,-0.587
20,-0.486